Density functional theory data (PBE) for a relaxed structure of Tl3In.

As for the crystal system: orthorhombic. For the formation energy, the calculation gives 31.1 meV/atom. Its space group is Pmmm (47).

a b c (Å): 3.3267 5.4069 6.6431
angles (deg): 90.00 90.00 90.00
Closest atoms and distances in Å follow each position.
Fractional coordinates of all 4 atoms:
Tl (0.0000, 0.0000, 0.0000)  2 In 3.32, 10 Tl 3.33-3.59
Tl (0.5000, 0.5000, 0.2522)  8 Tl 3.29-3.59, 4 In 3.58
Tl (0.5000, 0.5000, 0.7478)  8 Tl 3.29-3.59, 4 In 3.58
In (0.0000, 0.0000, 0.5000)  10 Tl 3.32-3.58, 2 In 3.33

***

Density functional theory data (PBE) for a relaxed structure of BaAsNO2.

As for the crystal system: tetragonal. Its space group is P4/mmm (123). Its total DFT energy (no corrections) is -5.9271 eV/atom.

a b c (Å): 4.1350 4.1350 3.8448
angles (deg): 90.00 90.00 90.00
Closest atoms and distances in Å follow each position.
Fractional coordinates of all 5 atoms:
Ba (0.0000, 0.0000, 0.0000)  8 O 2.82, 4 N 2.92
As (0.5000, 0.5000, 0.5000)  2 N 1.92, 4 O 2.07
N (0.5000, 0.5000, 0.0000)  2 As 1.92
O (0.0000, 0.5000, 0.5000)  2 As 2.07
O (0.5000, 0.0000, 0.5000)  2 As 2.07

***

Density functional theory data (PBE) for a relaxed structure of Mn5CuN4.

As for the crystal system: orthorhombic. Its space group is Pmmn (59). Its total DFT energy (no corrections) is -8.3432 eV/atom.

a b c (Å): 5.6495 8.2379 4.5157
angles (deg): 90.00 90.00 90.00
Closest atoms and distances in Å follow each position.
Fractional coordinates of all 20 atoms:
Mn (0.0154, 0.0774, 0.2464)  3 N 1.83-1.97
Mn (0.0154, 0.4226, 0.2464)  3 N 1.83-1.97
Mn (0.2500, 0.7500, 0.2264)  4 N 1.86-1.94
Mn (0.4846, 0.0774, 0.2464)  3 N 1.83-1.97
Mn (0.4846, 0.4226, 0.2464)  3 N 1.83-1.97
Mn (0.5154, 0.5774, 0.7536)  3 N 1.83-1.97
Mn (0.5154, 0.9226, 0.7536)  3 N 1.83-1.97
Mn (0.7500, 0.2500, 0.7736)  4 N 1.86-1.94
Mn (0.9846, 0.5774, 0.7536)  3 N 1.83-1.97
Mn (0.9846, 0.9226, 0.7536)  3 N 1.83-1.97
Cu (0.2500, 0.2500, 0.8024)  2 N 1.99
Cu (0.7500, 0.7500, 0.1976)  2 N 1.99
N (0.0060, 0.7500, 0.5016)  3 Mn 1.83-1.86, 1 Cu 1.99
N (0.2500, 0.5457, 0.0138)  5 Mn 1.92-1.97
N (0.2500, 0.9543, 0.0138)  5 Mn 1.92-1.97
N (0.4940, 0.7500, 0.5016)  3 Mn 1.83-1.86, 1 Cu 1.99
N (0.5060, 0.2500, 0.4984)  3 Mn 1.83-1.86, 1 Cu 1.99
N (0.7500, 0.0457, 0.9862)  5 Mn 1.92-1.97
N (0.7500, 0.4543, 0.9862)  5 Mn 1.92-1.97
N (0.9940, 0.2500, 0.4984)  3 Mn 1.83-1.86, 1 Cu 1.99

***

Density functional theory data (PBE) for a relaxed structure of UGe3Se6.

As for the crystal system: monoclinic. Its space group is P2_1/m (11). Its total DFT energy (no corrections) is -5.0876 eV/atom.

a b c (Å): 11.8693 3.8244 12.0043
angles (deg): 90.00 110.64 90.00
Closest atoms and distances in Å follow each position.
Fractional coordinates of all 20 atoms:
U (0.1940, 0.2500, 0.0431)  8 Se 2.84-3.07
U (0.8060, 0.7500, 0.9569)  8 Se 2.84-3.07
Ge (0.0628, 0.7500, 0.3135)  3 Se 2.57-2.59
Ge (0.3539, 0.2500, 0.4900)  3 Se 2.57
Ge (0.3623, 0.7500, 0.8344)  4 Se 2.54-2.70
Ge (0.6377, 0.2500, 0.1656)  4 Se 2.54-2.70
Ge (0.6461, 0.7500, 0.5100)  3 Se 2.57
Ge (0.9372, 0.2500, 0.6865)  3 Se 2.57-2.59
Se (0.0310, 0.7500, 0.8973)  3 U 2.84-3.00, 2 Ge 3.05
Se (0.1306, 0.2500, 0.4687)  3 Ge 2.57-2.59
Se (0.2129, 0.2500, 0.7948)  2 Ge 2.54
Se (0.2377, 0.7500, 0.2345)  1 Ge 2.57
Se (0.3811, 0.7500, 0.0585)  1 Ge 2.62, 2 U 2.89
Se (0.4273, 0.7500, 0.6408)  3 Ge 2.57-2.70
Se (0.5727, 0.2500, 0.3592)  3 Ge 2.57-2.70
Se (0.6189, 0.2500, 0.9415)  1 Ge 2.62, 2 U 2.89
Se (0.7623, 0.2500, 0.7655)  1 Ge 2.57
Se (0.7871, 0.7500, 0.2052)  2 Ge 2.54
Se (0.8694, 0.7500, 0.5313)  3 Ge 2.57-2.59
Se (0.9690, 0.2500, 0.1027)  3 U 2.84-3.00, 2 Ge 3.05

***

Density functional theory data (PBE) for a relaxed structure of LiAg3Sb3S8.

As for the crystal system: trigonal. Its space group is R-3m (166). Its total DFT energy (no corrections) is -3.9256 eV/atom.

a b c (Å): 7.6469 7.6469 7.6469
angles (deg): 59.27 59.27 59.27
Closest atoms and distances in Å follow each position.
Fractional coordinates of all 15 atoms:
Li (0.0000, 0.0000, 0.0000)  6 S 2.63
Ag (0.0000, 0.0000, 0.5000)  6 S 2.68-2.72
Ag (0.0000, 0.5000, 0.0000)  6 S 2.68-2.72
Ag (0.5000, 0.0000, 0.0000)  6 S 2.68-2.72
Sb (0.0000, 0.5000, 0.5000)  6 S 2.66-2.70
Sb (0.5000, 0.0000, 0.5000)  6 S 2.66-2.70
Sb (0.5000, 0.5000, 0.0000)  6 S 2.66-2.70
S (0.2445, 0.2445, 0.7501)  1 Li 2.63, 2 Sb 2.66, 2 Ag 2.72
S (0.2445, 0.7501, 0.2445)  1 Li 2.63, 2 Sb 2.66, 2 Ag 2.72
S (0.2489, 0.2489, 0.2489)  3 Ag 2.68, 3 Sb 2.70
S (0.2499, 0.7555, 0.7555)  1 Li 2.63, 2 Sb 2.66, 2 Ag 2.72
S (0.7501, 0.2445, 0.2445)  1 Li 2.63, 2 Sb 2.66, 2 Ag 2.72
S (0.7511, 0.7511, 0.7511)  3 Ag 2.68, 3 Sb 2.70
S (0.7555, 0.2499, 0.7555)  1 Li 2.63, 2 Sb 2.66, 2 Ag 2.72
S (0.7555, 0.7555, 0.2499)  1 Li 2.63, 2 Sb 2.66, 2 Ag 2.72

***

Density functional theory data (PBE) for a relaxed structure of LuBeTl.

As for the crystal system: cubic. For the formation energy, the calculation gives -27.5 meV/atom. Its space group is F-43m (216).

a b c (Å): 6.3084 6.3084 6.3084
angles (deg): 90.00 90.00 90.00
Closest atoms and distances in Å follow each position.
Fractional coordinates of all 12 atoms:
Lu (0.0000, 0.0000, 0.0000)  4 Be 2.73
Lu (0.0000, 0.5000, 0.5000)  4 Be 2.73
Lu (0.5000, 0.0000, 0.5000)  4 Be 2.73
Lu (0.5000, 0.5000, 0.0000)  4 Be 2.73
Be (0.2500, 0.2500, 0.7500)  4 Tl 2.73, 4 Lu 2.73
Be (0.2500, 0.7500, 0.2500)  4 Tl 2.73, 4 Lu 2.73
Be (0.7500, 0.2500, 0.2500)  4 Tl 2.73, 4 Lu 2.73
Be (0.7500, 0.7500, 0.7500)  4 Tl 2.73, 4 Lu 2.73
Tl (0.0000, 0.0000, 0.5000)  4 Be 2.73
Tl (0.0000, 0.5000, 0.0000)  4 Be 2.73
Tl (0.5000, 0.0000, 0.0000)  4 Be 2.73
Tl (0.5000, 0.5000, 0.5000)  4 Be 2.73